1.
# PBE AlRu2W, relaxed
# Calculated formation energy: 0.504 eV/atom
# DOS(E_F): 2.967 states/eV/cell
data_AlRu2W
_cell_length_a 5.9135
_cell_length_b 5.9135
_cell_length_c 5.9135
_cell_angle_alpha 53.69
_cell_angle_beta 153.52
_cell_angle_gamma 134.19
_space_group_name_H-M_alt 'P 1'
_space_group_IT_number 1
loop_
_space_group_symop_operation_xyz
'x,y,z'
loop_
_atom_site_label
_atom_site_type_symbol
_atom_site_fract_x
_atom_site_fract_y
_atom_site_fract_z
W1 W 0.0000 0.5000 0.5000
Ru1 Ru 0.0000 0.7259 0.7259
Ru2 Ru 0.0000 0.2741 0.2741
Al1 Al 0.0000 0.0000 0.0000

2.
# PBE Mg6CuRh5, relaxed
# Calculated formation energy: -0.453 eV/atom
# DOS(E_F): 5.802 states/eV/cell
data_Mg6CuRh5
_cell_length_a 4.3789
_cell_length_b 6.3397
_cell_length_c 7.6361
_cell_angle_alpha 114.53
_cell_angle_beta 106.66
_cell_angle_gamma 90.00
_space_group_name_H-M_alt 'P 1'
_space_group_IT_number 1
loop_
_space_group_symop_operation_xyz
'x,y,z'
loop_
_atom_site_label
_atom_site_type_symbol
_atom_site_fract_x
_atom_site_fract_y
_atom_site_fract_z
Mg1 Mg 0.5000 0.2580 0.0000
Mg2 Mg 0.1694 0.4233 0.3389
Mg3 Mg 0.5000 0.7420 0.0000
Mg4 Mg 0.8306 0.0845 0.6611
Mg5 Mg 0.8306 0.5767 0.6611
Mg6 Mg 0.1694 0.9155 0.3389
Rh1 Rh 0.3403 0.8403 0.6807
Rh2 Rh 0.0000 0.5000 0.0000
Rh3 Rh 0.6666 0.6666 0.3332
Rh4 Rh 0.6597 0.1597 0.3193
Rh5 Rh 0.3334 0.3334 0.6668
Cu1 Cu 0.0000 0.0000 0.0000